No. 1
# Li2BeCu2 (PBE, relaxed)
data_Li2BeCu2
_chemical_formula_sum 'Li4 Be2 Cu4'
_cell_length_a 5.636
_cell_length_b 5.636
_cell_length_c 4.229
_cell_angle_alpha 90.00
_cell_angle_beta 90.00
_cell_angle_gamma 90.00
_symmetry_space_group_name_H-M 'P 4/m b m'
_symmetry_Int_Tables_number 127
_symmetry_space_group_name_Hall '-P 4 2ab'
loop_
_atom_site_label
_atom_site_fract_x
_atom_site_fract_y
_atom_site_fract_z
_atom_site_occupancy
Li1 0.173 0.327 0.000 1
Be1 0.000 0.000 0.500 1
Cu1 0.148 0.648 0.500 1
# **Electronic total energy**: -30.5 eV for the cell shown
# **V**: 67.2 Å³/f.u.
# **Density of states at the Fermi level**: 0.421 states/eV per atom



No. 2
# LiBe17Cu (PBE, relaxed)
data_LiBe17Cu
_chemical_formula_sum 'Li3 Be51 Cu3'
_cell_length_a 7.2746
_cell_length_b 7.2746
_cell_length_c 10.9430
_cell_angle_alpha 90.00
_cell_angle_beta 90.00
_cell_angle_gamma 120.00
_symmetry_space_group_name_H-M 'R 3 m'
_symmetry_Int_Tables_number 160
_symmetry_space_group_name_Hall 'R 3 -2"'
loop_
_atom_site_label
_atom_site_fract_x
_atom_site_fract_y
_atom_site_fract_z
_atom_site_occupancy
Li1 0.0000 0.0000 0.0000 1
Be1 0.0000 0.0000 0.5691 1
Be2 0.0000 0.0000 0.7661 1
Be3 0.0266 0.3578 0.3319 1
Be4 0.1679 0.3358 0.8358 1
Be5 0.1683 0.3366 0.4999 1
Be6 0.1694 0.3389 0.1593 1
Cu1 0.0000 0.0000 0.3517 1
# **Electronic total energy**: -204.7 eV for the cell shown
# **V**: 167.2 Å³/f.u.
# **Density of states at the Fermi level**: 0.275 states/eV per atom



No. 3
# LiBeCu2 (PBE, relaxed)
data_LiBeCu2
_chemical_formula_sum 'Li2 Be2 Cu4'
_cell_length_a 3.402
_cell_length_b 3.402
_cell_length_c 7.574
_cell_angle_alpha 90.00
_cell_angle_beta 90.00
_cell_angle_gamma 90.00
_symmetry_space_group_name_H-M 'I -4 m 2'
_symmetry_Int_Tables_number 119
_symmetry_space_group_name_Hall 'I -4 -2'
loop_
_atom_site_label
_atom_site_fract_x
_atom_site_fract_y
_atom_site_fract_z
_atom_site_occupancy
Li1 0.000 0.000 0.000 1
Be1 0.000 0.500 0.750 1
Cu1 0.000 0.000 0.500 1
Cu2 0.000 0.500 0.250 1
# **Electronic total energy**: -27.5 eV for the cell shown
# **V**: 43.8 Å³/f.u.
# **Density of states at the Fermi level**: 0.351 states/eV per atom



No. 4
# Li2BeCu (PBE, relaxed)
data_Li2BeCu
_chemical_formula_sum 'Li4 Be2 Cu2'
_cell_length_a 2.773
_cell_length_b 4.046
_cell_length_c 8.562
_cell_angle_alpha 90.00
_cell_angle_beta 90.00
_cell_angle_gamma 90.00
_symmetry_space_group_name_H-M 'C m m m'
_symmetry_Int_Tables_number 65
_symmetry_space_group_name_Hall '-C 2 2'
loop_
_atom_site_label
_atom_site_fract_x
_atom_site_fract_y
_atom_site_fract_z
_atom_site_occupancy
Li1 0.000 0.000 0.245 1
Be1 0.000 0.500 0.000 1
Cu1 0.000 0.500 0.500 1
# **Electronic total energy**: -22.1 eV for the cell shown
# **V**: 48.0 Å³/f.u.
# **Density of states at the Fermi level**: 0.445 states/eV per atom



No. 5
# LiBe2Cu (PBE, relaxed)
data_LiBe2Cu
_chemical_formula_sum 'Li1 Be2 Cu1'
_cell_length_a 2.371
_cell_length_b 3.809
_cell_length_c 4.584
_cell_angle_alpha 90.00
_cell_angle_beta 100.77
_cell_angle_gamma 90.00
_symmetry_space_group_name_H-M 'P 1 2/m 1'
_symmetry_Int_Tables_number 10
loop_
_symmetry_equiv_pos_as_xyz
'x,y,z'
'-x,-y,-z'
'-x,y,-z'
'x,-y,z'
loop_
_atom_site_label
_atom_site_fract_x
_atom_site_fract_y
_atom_site_fract_z
_atom_site_occupancy
Li1 0.000 0.000 0.000 1
Be1 0.235 0.500 0.734 1
Cu1 0.500 0.000 0.500 1
# **Electronic total energy**: -13.2 eV for the cell shown
# **V**: 40.7 Å³/f.u.
# **Density of states at the Fermi level**: 0.238 states/eV per atom



No. 6
# Li2BeCu (PBE, relaxed)
data_Li2BeCu
_chemical_formula_sum 'Li2 Be1 Cu1'
_cell_length_a 2.456
_cell_length_b 4.103
_cell_length_c 4.788
_cell_angle_alpha 90.00
_cell_angle_beta 90.00
_cell_angle_gamma 90.00
_symmetry_space_group_name_H-M 'P m m m'
_symmetry_Int_Tables_number 47
loop_
_symmetry_equiv_pos_as_xyz
'x,y,z'
'-x,-y,-z'
'-x,-y,z'
'x,y,-z'
'x,-y,-z'
'-x,y,z'
'-x,y,-z'
'x,-y,z'
loop_
_atom_site_label
_atom_site_fract_x
_atom_site_fract_y
_atom_site_fract_z
_atom_site_occupancy
Li1 0.000 0.000 0.247 1
Be1 0.500 0.500 0.000 1
Cu1 0.500 0.500 0.500 1
# **Electronic total energy**: -11.1 eV for the cell shown
# **V**: 48.3 Å³/f.u.
# **Density of states at the Fermi level**: 0.443 states/eV per atom



No. 7
# LiBeCu (PBE, relaxed)
data_LiBeCu
_chemical_formula_sum 'Li4 Be4 Cu4'
_cell_length_a 5.393
_cell_length_b 5.393
_cell_length_c 5.393
_cell_angle_alpha 90.00
_cell_angle_beta 90.00
_cell_angle_gamma 90.00
_symmetry_space_group_name_H-M 'F -4 3 m'
_symmetry_Int_Tables_number 216
_symmetry_space_group_name_Hall 'F -4 2 3'
loop_
_atom_site_label
_atom_site_fract_x
_atom_site_fract_y
_atom_site_fract_z
_atom_site_occupancy
Li1 0.000 0.000 0.000 1
Be1 0.250 0.250 0.250 1
Cu1 0.000 0.000 0.500 1
# **Electronic total energy**: -34.3 eV for the cell shown
# **V**: 39.2 Å³/f.u.
# **Density of states at the Fermi level**: 0.158 states/eV per atom



No. 8
# LiBeCu (PBE, relaxed)
data_LiBeCu
_chemical_formula_sum 'Li4 Be4 Cu4'
_cell_length_a 2.705
_cell_length_b 4.088
_cell_length_c 12.305
_cell_angle_alpha 90.00
_cell_angle_beta 90.00
_cell_angle_gamma 90.00
_symmetry_space_group_name_H-M 'F m m 2'
_symmetry_Int_Tables_number 42
_symmetry_space_group_name_Hall 'F 2 -2'
loop_
_atom_site_label
_atom_site_fract_x
_atom_site_fract_y
_atom_site_fract_z
_atom_site_occupancy
Li1 0.000 0.000 0.000 1
Be1 0.000 0.000 0.672 1
Cu1 0.000 0.000 0.323 1
# **Electronic total energy**: -37.6 eV for the cell shown
# **V**: 34.0 Å³/f.u.
# **Density of states at the Fermi level**: 0.253 states/eV per atom



No. 9
# LiBeCu (PBE, relaxed)
data_LiBeCu
_chemical_formula_sum 'Li4 Be4 Cu4'
_cell_length_a 4.481
_cell_length_b 4.915
_cell_length_c 6.390
_cell_angle_alpha 90.00
_cell_angle_beta 90.00
_cell_angle_gamma 90.00
_symmetry_space_group_name_H-M 'I m m a'
_symmetry_Int_Tables_number 74
_symmetry_space_group_name_Hall '-I 2b 2'
loop_
_atom_site_label
_atom_site_fract_x
_atom_site_fract_y
_atom_site_fract_z
_atom_site_occupancy
Li1 0.000 0.250 0.127 1
Be1 0.250 0.250 0.750 1
Cu1 0.000 0.000 0.500 1
# **Electronic total energy**: -39.2 eV for the cell shown
# **V**: 35.2 Å³/f.u.
# **Density of states at the Fermi level**: 0.352 states/eV per atom



No. 10
# LiBe2Cu (PBE, relaxed)
data_LiBe2Cu
_chemical_formula_sum 'Li3 Be6 Cu3'
_cell_length_a 2.4587
_cell_length_b 2.4587
_cell_length_c 24.4377
_cell_angle_alpha 90.00
_cell_angle_beta 90.00
_cell_angle_gamma 120.00
_symmetry_space_group_name_H-M 'R -3 m'
_symmetry_Int_Tables_number 166
_symmetry_space_group_name_Hall '-R 3 2"'
loop_
_atom_site_label
_atom_site_fract_x
_atom_site_fract_y
_atom_site_fract_z
_atom_site_occupancy
Li1 0.0000 0.0000 0.0000 1
Be1 0.0000 0.0000 0.2450 1
Cu1 0.0000 0.0000 0.5000 1
# **Electronic total energy**: -38.7 eV for the cell shown
# **V**: 42.6 Å³/f.u.
# **Density of states at the Fermi level**: 0.371 states/eV per atom



No. 11
# Li2BeCu (PBE, relaxed)
data_Li2BeCu
_chemical_formula_sum 'Li2 Be1 Cu1'
_cell_length_a 2.739
_cell_length_b 3.971
_cell_length_c 4.298
_cell_angle_alpha 90.00
_cell_angle_beta 90.00
_cell_angle_gamma 90.00
_symmetry_space_group_name_H-M 'P m m m'
_symmetry_Int_Tables_number 47
loop_
_symmetry_equiv_pos_as_xyz
'x,y,z'
'-x,-y,-z'
'-x,-y,z'
'x,y,-z'
'x,-y,-z'
'-x,y,z'
'-x,y,-z'
'x,-y,z'
loop_
_atom_site_label
_atom_site_fract_x
_atom_site_fract_y
_atom_site_fract_z
_atom_site_occupancy
Li1 0.000 0.000 0.000 1
Li2 0.500 0.500 0.000 1
Be1 0.000 0.500 0.500 1
Cu1 0.500 0.000 0.500 1
# **Electronic total energy**: -11.3 eV for the cell shown
# **V**: 46.7 Å³/f.u.
# **Density of states at the Fermi level**: 0.333 states/eV per atom



No. 12
# LiBeCu2 (PBE, relaxed)
data_LiBeCu2
_chemical_formula_sum 'Li1 Be1 Cu2'
_cell_length_a 2.898
_cell_length_b 2.898
_cell_length_c 5.401
_cell_angle_alpha 90.00
_cell_angle_beta 90.00
_cell_angle_gamma 90.00
_symmetry_space_group_name_H-M 'P 4 m m'
_symmetry_Int_Tables_number 99
loop_
_symmetry_equiv_pos_as_xyz
'x,y,z'
'-y,x,z'
'-x,-y,z'
'y,-x,z'
'-x,y,z'
'y,x,z'
'x,-y,z'
'-y,-x,z'
loop_
_atom_site_label
_atom_site_fract_x
_atom_site_fract_y
_atom_site_fract_z
_atom_site_occupancy
Li1 0.000 0.000 0.000 1
Be1 0.500 0.500 0.273 1
Cu1 0.000 0.000 0.468 1
Cu2 0.500 0.500 0.736 1
# **Electronic total energy**: -13.6 eV for the cell shown
# **V**: 45.4 Å³/f.u.
# **Density of states at the Fermi level**: 0.221 states/eV per atom



No. 13
# LiBeCu (PBE, relaxed)
data_LiBeCu
_chemical_formula_sum 'Li1 Be1 Cu1'
_cell_length_a 3.9669
_cell_length_b 3.9669
_cell_length_c 2.3805
_cell_angle_alpha 90.00
_cell_angle_beta 90.00
_cell_angle_gamma 120.00
_symmetry_space_group_name_H-M 'P 3 m 1'
_symmetry_Int_Tables_number 156
loop_
_symmetry_equiv_pos_as_xyz
'x,y,z'
'-y,x-y,z'
'-x+y,-x,z'
'-y,-x,z'
'-x+y,y,z'
'x,x-y,z'
loop_
_atom_site_label
_atom_site_fract_x
_atom_site_fract_y
_atom_site_fract_z
_atom_site_occupancy
Li1 0.0000 0.0000 0.0000 1
Be1 0.6667 0.3333 0.2966 1
Cu1 0.3333 0.6667 0.6652 1
# **Electronic total energy**: -9.5 eV for the cell shown
# **V**: 32.4 Å³/f.u.
# **Density of states at the Fermi level**: 0.466 states/eV per atom



No. 14
# LiBe4Cu8 (PBE, relaxed)
data_LiBe4Cu8
_chemical_formula_sum 'Li2 Be8 Cu16'
_cell_length_a 8.000
_cell_length_b 8.000
_cell_length_c 4.538
_cell_angle_alpha 90.00
_cell_angle_beta 90.00
_cell_angle_gamma 90.00
_symmetry_space_group_name_H-M 'I 4/m m m'
_symmetry_Int_Tables_number 139
_symmetry_space_group_name_Hall '-I 4 2'
loop_
_atom_site_label
_atom_site_fract_x
_atom_site_fract_y
_atom_site_fract_z
_atom_site_occupancy
Li1 0.000 0.000 0.000 1
Be1 0.250 0.250 0.250 1
Cu1 0.000 0.218 0.500 1
Cu2 0.000 0.344 0.000 1
# **Electronic total energy**: -100.4 eV for the cell shown
# **V**: 145.2 Å³/f.u.
# **Density of states at the Fermi level**: 0.401 states/eV per atom